La3OsPb | PBE | relaxed Values from VASP.

- Excess energy over the best structure of this formula in the dataset: 26.9 kJ per mole of atoms
- DOS(E_F): 87.80 states/eV per cell
- Energy of formation: -0.127 eV/atom
- Final energy: -30.36 eV/f.u.

Structure (Quantum ESPRESSO input):
```
&SYSTEM
  ibrav = 0, nat = 20, ntyp = 3
/
ATOMIC_SPECIES
La 138.91 La.upf
Os 190.23 Os.upf
Pb 207.20 Pb.upf
CELL_PARAMETERS angstrom
0.0000 7.2572 7.2572
7.2572 0.0000 7.2572
7.2572 7.2572 0.0000
ATOMIC_POSITIONS angstrom
La 5.4429 5.4429 1.2030
La 5.4429 1.2030 5.4429
La 9.6828 5.4429 5.4429
La 9.0715 9.0715 4.8316
La 9.0715 4.8316 9.0715
La 13.3113 9.0715 9.0715
La 1.2030 5.4429 5.4429
La 5.4429 9.6828 5.4429
La 5.4429 5.4429 9.6828
La 4.8316 9.0715 9.0715
La 9.0715 13.3113 9.0715
La 9.0715 9.0715 13.3113
Os 0.0000 0.0000 0.0000
Os 3.6286 3.6286 0.0000
Os 3.6286 0.0000 3.6286
Os 0.0000 3.6286 3.6286
Pb 7.2572 3.6286 3.6286
Pb 3.6286 7.2572 3.6286
Pb 3.6286 3.6286 7.2572
Pb 7.2572 7.2572 7.2572
```